(1)
Here is a geometry-optimized SrTm2Ag3 structure from the Alexandria database. Energies are from PBE-GGA.

The calculation puts the calculated formation energy at -1.80 eV/f.u.

Cell: 3.6590 3.6590 11.2624 Å, 90.00 90.00 90.00°
Fractional coordinates of all 6 atoms:
Sr1 0.5000 0.5000 0.5000
Tm1 0.5000 0.5000 0.8405
Tm2 0.5000 0.5000 0.1595
Ag1 0.0000 0.0000 0.0000
Ag2 0.0000 0.0000 0.6992
Ag3 0.0000 0.0000 0.3008

(2)
Here is a geometry-optimized SrTmAg2 structure from the Alexandria database. Energies are from PBE-GGA.

The offset from the most stable computed form is 0.092 eV/atom. The calculation puts the calculated formation energy at -0.79 eV/f.u.

Cell: 5.2916 5.2916 5.2916 Å, 60.00 60.00 60.00°
Fractional coordinates of all 4 atoms:
Sr1 0.0000 0.0000 0.0000
Tm1 0.5000 0.5000 0.5000
Ag1 0.2500 0.2500 0.2500
Ag2 0.7500 0.7500 0.7500

(3)
Here is a geometry-optimized SrTmAg2 structure from the Alexandria database. Energies are from PBE-GGA.

The offset from the most stable computed form is 0.000 eV/atom. The calculation puts the calculated formation energy at -1.16 eV/f.u.

Cell: 3.7203 3.7203 7.6507 Å, 90.00 90.00 90.00°
Fractional coordinates of all 4 atoms:
Sr1 0.5000 0.5000 0.5000
Tm1 0.5000 0.5000 0.0000
Ag1 0.0000 0.0000 0.7932
Ag2 0.0000 0.0000 0.2068

(4)
Here is a geometry-optimized SrTmZnAg structure from the Alexandria database. Energies are from PBE-GGA.

The calculation puts the calculated formation energy at -0.73 eV/f.u.

Cell: 5.2567 5.2567 5.2567 Å, 60.00 60.00 60.00°
Fractional coordinates of all 4 atoms:
Sr1 0.2500 0.2500 0.2500
Zn1 0.5000 0.5000 0.5000
Tm1 0.7500 0.7500 0.7500
Ag1 0.0000 0.0000 0.0000